[1]
# Sm7Ga3 (PBE-GGA, optimized geometry)
# magnetic moment = 0.00 μB per formula unit
# energy of formation from the pure elements = -0.342 eV/atom
data_Sm7Ga3
_symmetry_space_group_name_H-M 'C 1 2/m 1'
_symmetry_Int_Tables_number 12
_cell_length_a 16.756
_cell_length_b 5.173
_cell_length_c 6.676
_cell_angle_alpha 90.00
_cell_angle_beta 106.05
_cell_angle_gamma 90.00
loop_
_symmetry_equiv_pos_as_xyz
'x,y,z'
'-x,-y,-z'
'-x,y,-z'
'x,-y,z'
'x+1/2,y+1/2,z'
'-x+1/2,-y+1/2,-z'
'-x+1/2,y+1/2,-z'
'x+1/2,-y+1/2,z'
loop_
_atom_site_label
_atom_site_type_symbol
_atom_site_fract_x
_atom_site_fract_y
_atom_site_fract_z
Sm1 Sm 0.000 0.000 0.000
Sm2 Sm 0.082 0.500 0.366
Sm3 Sm 0.139 0.500 0.922
Sm4 Sm 0.195 0.000 0.657
Ga1 Ga 0.000 0.000 0.500
Ga2 Ga 0.193 0.000 0.185


[2]
# Sm5Ga6 (PBE-GGA, optimized geometry)
# magnetic moment = 0.00 μB per formula unit
# energy of formation from the pure elements = -0.451 eV/atom
data_Sm5Ga6
_symmetry_space_group_name_H-M 'I m m m'
_symmetry_Int_Tables_number 71
_symmetry_space_group_name_Hall '-I 2 2'
_cell_length_a 5.060
_cell_length_b 7.257
_cell_length_c 15.534
_cell_angle_alpha 90.00
_cell_angle_beta 90.00
_cell_angle_gamma 90.00
loop_
_atom_site_label
_atom_site_type_symbol
_atom_site_fract_x
_atom_site_fract_y
_atom_site_fract_z
Sm1 Sm 0.000 0.000 0.000
Sm2 Sm 0.000 0.000 0.366
Sm3 Sm 0.000 0.500 0.318
Ga1 Ga 0.000 0.239 0.167
Ga2 Ga 0.000 0.292 0.500


[3]
# Sm9Ga4 (PBE-GGA, optimized geometry)
# magnetic moment = 0.00 μB per formula unit
# energy of formation from the pure elements = -0.379 eV/atom
data_Sm9Ga4
_symmetry_space_group_name_H-M 'I 4/m'
_symmetry_Int_Tables_number 87
_symmetry_space_group_name_Hall '-I 4'
_cell_length_a 11.928
_cell_length_b 11.928
_cell_length_c 5.127
_cell_angle_alpha 90.00
_cell_angle_beta 90.00
_cell_angle_gamma 90.00
loop_
_atom_site_label
_atom_site_type_symbol
_atom_site_fract_x
_atom_site_fract_y
_atom_site_fract_z
Sm1 Sm 0.000 0.000 0.000
Sm2 Sm 0.095 0.625 0.000
Sm3 Sm 0.110 0.816 0.500
Ga1 Ga 0.113 0.232 0.000


[4]
# SmGa4 (PBE-GGA, optimized geometry)
# magnetic moment = 0.00 μB per formula unit
# energy of formation from the pure elements = -0.073 eV/atom
data_SmGa4
_symmetry_space_group_name_H-M 'P 4/m b m'
_symmetry_Int_Tables_number 127
_symmetry_space_group_name_Hall '-P 4 2ab'
_cell_length_a 9.364
_cell_length_b 9.364
_cell_length_c 5.383
_cell_angle_alpha 90.00
_cell_angle_beta 90.00
_cell_angle_gamma 90.00
loop_
_atom_site_label
_atom_site_type_symbol
_atom_site_fract_x
_atom_site_fract_y
_atom_site_fract_z
Sm1 Sm 0.146 0.354 0.000
Ga1 Ga 0.000 0.000 0.219
Ga2 Ga 0.099 0.599 0.500
Ga3 Ga 0.107 0.199 0.500


[5]
# SmGa2 (PBE-GGA, optimized geometry)
# magnetic moment = 0.00 μB per formula unit
# energy of formation from the pure elements = -0.684 eV/atom
data_SmGa2
_symmetry_space_group_name_H-M 'P 6/m m m'
_symmetry_Int_Tables_number 191
_symmetry_space_group_name_Hall '-P 6 2'
_cell_length_a 4.2521
_cell_length_b 4.2521
_cell_length_c 4.2285
_cell_angle_alpha 90.00
_cell_angle_beta 90.00
_cell_angle_gamma 120.00
loop_
_atom_site_label
_atom_site_type_symbol
_atom_site_fract_x
_atom_site_fract_y
_atom_site_fract_z
Sm1 Sm 0.0000 0.0000 0.0000
Ga1 Ga 0.3333 0.6667 0.5000


[6]
# Sm8Ga3 (PBE-GGA, optimized geometry)
# magnetic moment = 0.00 μB per formula unit
# energy of formation from the pure elements = -0.114 eV/atom
data_Sm8Ga3
_symmetry_space_group_name_H-M 'R -3'
_symmetry_Int_Tables_number 148
_symmetry_space_group_name_Hall '-R 3'
_cell_length_a 9.8766
_cell_length_b 9.8766
_cell_length_c 12.4448
_cell_angle_alpha 90.00
_cell_angle_beta 90.00
_cell_angle_gamma 120.00
loop_
_atom_site_label
_atom_site_type_symbol
_atom_site_fract_x
_atom_site_fract_y
_atom_site_fract_z
Sm1 Sm 0.0000 0.0000 0.1493
Sm2 Sm 0.0411 0.7903 0.6134
Ga1 Ga 0.0000 0.5000 0.5000


[7]
# SmGa3 (PBE-GGA, optimized geometry)
# magnetic moment = 0.00 μB per formula unit
# energy of formation from the pure elements = -0.553 eV/atom
data_SmGa3
_symmetry_space_group_name_H-M 'R -3 m'
_symmetry_Int_Tables_number 166
_symmetry_space_group_name_Hall '-R 3 2"'
_cell_length_a 6.3541
_cell_length_b 6.3541
_cell_length_c 20.8310
_cell_angle_alpha 90.00
_cell_angle_beta 90.00
_cell_angle_gamma 120.00
loop_
_atom_site_label
_atom_site_type_symbol
_atom_site_fract_x
_atom_site_fract_y
_atom_site_fract_z
Sm1 Sm 0.0000 0.0000 0.0000
Sm2 Sm 0.0000 0.0000 0.2151
Ga1 Ga 0.0000 0.5000 0.0000
Ga2 Ga 0.0498 0.5249 0.2243


[8]
# SmGa4 (PBE-GGA, optimized geometry)
# magnetic moment = 0.00 μB per formula unit
# energy of formation from the pure elements = -0.444 eV/atom
data_SmGa4
_symmetry_space_group_name_H-M 'I m m a'
_symmetry_Int_Tables_number 74
_symmetry_space_group_name_Hall '-I 2b 2'
_cell_length_a 4.552
_cell_length_b 6.385
_cell_length_c 13.610
_cell_angle_alpha 90.00
_cell_angle_beta 90.00
_cell_angle_gamma 90.00
loop_
_atom_site_label
_atom_site_type_symbol
_atom_site_fract_x
_atom_site_fract_y
_atom_site_fract_z
Sm1 Sm 0.000 0.250 0.115
Ga1 Ga 0.000 0.000 0.500
Ga2 Ga 0.000 0.043 0.699
Ga3 Ga 0.000 0.250 0.891


[9]
# SmGa4 (PBE-GGA, optimized geometry)
# magnetic moment = 0.00 μB per formula unit
# energy of formation from the pure elements = 0.691 eV/atom
data_SmGa4
_symmetry_space_group_name_H-M 'P m -3 m'
_symmetry_Int_Tables_number 221
_symmetry_space_group_name_Hall '-P 4 2 3'
_cell_length_a 5.596
_cell_length_b 5.596
_cell_length_c 5.596
_cell_angle_alpha 90.00
_cell_angle_beta 90.00
_cell_angle_gamma 90.00
loop_
_atom_site_label
_atom_site_type_symbol
_atom_site_fract_x
_atom_site_fract_y
_atom_site_fract_z
Sm1 Sm 0.000 0.000 0.000
Ga1 Ga 0.000 0.000 0.500
Ga2 Ga 0.500 0.500 0.500


[10]
# Sm2Ga13 (PBE-GGA, optimized geometry)
# magnetic moment = 0.00 μB per formula unit
# energy of formation from the pure elements = -0.142 eV/atom
data_Sm2Ga13
_symmetry_space_group_name_H-M 'R -3 m'
_symmetry_Int_Tables_number 166
_symmetry_space_group_name_Hall '-R 3 2"'
_cell_length_a 7.2805
_cell_length_b 7.2805
_cell_length_c 21.7427
_cell_angle_alpha 90.00
_cell_angle_beta 90.00
_cell_angle_gamma 120.00
loop_
_atom_site_label
_atom_site_type_symbol
_atom_site_fract_x
_atom_site_fract_y
_atom_site_fract_z
Sm1 Sm 0.0000 0.0000 0.2335
Ga1 Ga 0.0000 0.0000 0.0000
Ga2 Ga 0.0574 0.5287 0.7883
Ga3 Ga 0.1001 0.5500 0.0486


[11]
# SmGa5 (PBE-GGA, optimized geometry)
# magnetic moment = 0.00 μB per formula unit
# energy of formation from the pure elements = -0.344 eV/atom
# energy relative to the lowest polymorph listed for this composition = 0.000 eV per atom
data_SmGa5
_symmetry_space_group_name_H-M 'I m m m'
_symmetry_Int_Tables_number 71
_symmetry_space_group_name_Hall '-I 2 2'
_cell_length_a 4.178
_cell_length_b 6.478
_cell_length_c 8.858
_cell_angle_alpha 90.00
_cell_angle_beta 90.00
_cell_angle_gamma 90.00
loop_
_atom_site_label
_atom_site_type_symbol
_atom_site_fract_x
_atom_site_fract_y
_atom_site_fract_z
Sm1 Sm 0.000 0.000 0.000
Ga1 Ga 0.000 0.212 0.337
Ga2 Ga 0.000 0.500 0.000


[12]
# Sm5Ga3 (PBE-GGA, optimized geometry)
# magnetic moment = 0.00 μB per formula unit
# energy of formation from the pure elements = -0.456 eV/atom
# energy relative to the lowest polymorph listed for this composition = 0.012 eV per atom
data_Sm5Ga3
_symmetry_space_group_name_H-M 'I 4/m c m'
_symmetry_Int_Tables_number 140
_symmetry_space_group_name_Hall '-I 4 2c'
_cell_length_a 11.929
_cell_length_b 11.929
_cell_length_c 6.035
_cell_angle_alpha 90.00
_cell_angle_beta 90.00
_cell_angle_gamma 90.00
loop_
_atom_site_label
_atom_site_type_symbol
_atom_site_fract_x
_atom_site_fract_y
_atom_site_fract_z
Sm1 Sm 0.000 0.500 0.250
Sm2 Sm 0.087 0.214 0.000
Ga1 Ga 0.000 0.000 0.250
Ga2 Ga 0.159 0.341 0.500


[13]
# SmGa2 (PBE-GGA, optimized geometry)
# magnetic moment = 0.00 μB per formula unit
# energy of formation from the pure elements = -0.394 eV/atom
data_SmGa2
_symmetry_space_group_name_H-M 'C 1 2/m 1'
_symmetry_Int_Tables_number 12
_cell_length_a 6.006
_cell_length_b 5.855
_cell_length_c 4.315
_cell_angle_alpha 90.00
_cell_angle_beta 111.47
_cell_angle_gamma 90.00
loop_
_symmetry_equiv_pos_as_xyz
'x,y,z'
'-x,-y,-z'
'-x,y,-z'
'x,-y,z'
'x+1/2,y+1/2,z'
'-x+1/2,-y+1/2,-z'
'-x+1/2,y+1/2,-z'
'x+1/2,-y+1/2,z'
loop_
_atom_site_label
_atom_site_type_symbol
_atom_site_fract_x
_atom_site_fract_y
_atom_site_fract_z
Sm1 Sm 0.000 0.000 0.000
Ga1 Ga 0.121 0.500 0.315


[14]
# SmGa5 (PBE-GGA, optimized geometry)
# magnetic moment = 0.00 μB per formula unit
# energy of formation from the pure elements = -0.311 eV/atom
# energy relative to the lowest polymorph listed for this composition = 0.033 eV per atom
data_SmGa5
_symmetry_space_group_name_H-M 'C m m m'
_symmetry_Int_Tables_number 65
_symmetry_space_group_name_Hall '-C 2 2'
_cell_length_a 4.198
_cell_length_b 12.128
_cell_length_c 4.688
_cell_angle_alpha 90.00
_cell_angle_beta 90.00
_cell_angle_gamma 90.00
loop_
_atom_site_label
_atom_site_type_symbol
_atom_site_fract_x
_atom_site_fract_y
_atom_site_fract_z
Sm1 Sm 0.000 0.000 0.000
Ga1 Ga 0.000 0.174 0.500
Ga2 Ga 0.000 0.316 0.000
Ga3 Ga 0.000 0.500 0.500


[15]
# Sm2GaSn (PBE-GGA, optimized geometry)
# magnetic moment = 0.00 μB per formula unit
# energy of formation from the pure elements = -0.458 eV/atom
data_Sm2GaSn
_symmetry_space_group_name_H-M 'R -3 m'
_symmetry_Int_Tables_number 166
_symmetry_space_group_name_Hall '-R 3 2"'
_cell_length_a 3.8818
_cell_length_b 3.8818
_cell_length_c 26.4462
_cell_angle_alpha 90.00
_cell_angle_beta 90.00
_cell_angle_gamma 120.00
loop_
_atom_site_label
_atom_site_type_symbol
_atom_site_fract_x
_atom_site_fract_y
_atom_site_fract_z
Sm1 Sm 0.0000 0.0000 0.2453
Ga1 Ga 0.0000 0.0000 0.5000
Sn1 Sn 0.0000 0.0000 0.0000


[16]
# SmGaSn (PBE-GGA, optimized geometry)
# magnetic moment = 0.00 μB per formula unit
# energy of formation from the pure elements = -0.551 eV/atom
data_SmGaSn
_symmetry_space_group_name_H-M 'C m c m'
_symmetry_Int_Tables_number 63
_symmetry_space_group_name_Hall '-C 2c 2'
_cell_length_a 4.353
_cell_length_b 16.376
_cell_length_c 4.248
_cell_angle_alpha 90.00
_cell_angle_beta 90.00
_cell_angle_gamma 90.00
loop_
_atom_site_label
_atom_site_type_symbol
_atom_site_fract_x
_atom_site_fract_y
_atom_site_fract_z
Sm1 Sm 0.000 0.095 0.250
Ga1 Ga 0.000 0.455 0.250
Sn1 Sn 0.000 0.289 0.250


[17]
# SmGaSn (PBE-GGA, optimized geometry)
# magnetic moment = 0.00 μB per formula unit
# energy of formation from the pure elements = -0.608 eV/atom
data_SmGaSn
_symmetry_space_group_name_H-M 'P 3 m 1'
_symmetry_Int_Tables_number 156
_cell_length_a 4.4389
_cell_length_b 4.4389
_cell_length_c 4.4519
_cell_angle_alpha 90.00
_cell_angle_beta 90.00
_cell_angle_gamma 120.00
loop_
_symmetry_equiv_pos_as_xyz
'x,y,z'
'-y,x-y,z'
'-x+y,-x,z'
'-y,-x,z'
'-x+y,y,z'
'x,x-y,z'
loop_
_atom_site_label
_atom_site_type_symbol
_atom_site_fract_x
_atom_site_fract_y
_atom_site_fract_z
Sm1 Sm 0.0000 0.0000 0.0000
Ga1 Ga 0.3333 0.6667 0.6536
Sn1 Sn 0.6667 0.3333 0.4403


[18]
# Sm5Ga2Sn (PBE-GGA, optimized geometry)
# magnetic moment = 0.00 μB per formula unit
# energy of formation from the pure elements = -0.553 eV/atom
data_Sm5Ga2Sn
_symmetry_space_group_name_H-M 'I 4/m c m'
_symmetry_Int_Tables_number 140
_symmetry_space_group_name_Hall '-I 4 2c'
_cell_length_a 8.023
_cell_length_b 8.023
_cell_length_c 14.092
_cell_angle_alpha 90.00
_cell_angle_beta 90.00
_cell_angle_gamma 90.00
loop_
_atom_site_label
_atom_site_type_symbol
_atom_site_fract_x
_atom_site_fract_y
_atom_site_fract_z
Sm1 Sm 0.000 0.000 0.000
Sm2 Sm 0.167 0.333 0.145
Ga1 Ga 0.125 0.375 0.500
Sn1 Sn 0.000 0.000 0.250


[19]
# SmGaSn (PBE-GGA, optimized geometry)
# magnetic moment = 0.00 μB per formula unit
# energy of formation from the pure elements = -0.319 eV/atom
data_SmGaSn
_symmetry_space_group_name_H-M 'I 4 m m'
_symmetry_Int_Tables_number 107
_symmetry_space_group_name_Hall 'I 4 -2'
_cell_length_a 4.312
_cell_length_b 4.312
_cell_length_c 8.727
_cell_angle_alpha 90.00
_cell_angle_beta 90.00
_cell_angle_gamma 90.00
loop_
_atom_site_label
_atom_site_type_symbol
_atom_site_fract_x
_atom_site_fract_y
_atom_site_fract_z
Sm1 Sm 0.000 0.000 0.000
Ga1 Ga 0.000 0.000 0.336
Sn1 Sn 0.000 0.000 0.648


[20]
# Sm8Ga2Sn (PBE-GGA, optimized geometry)
# magnetic moment = 0.00 μB per formula unit
# energy of formation from the pure elements = -0.336 eV/atom
data_Sm8Ga2Sn
_symmetry_space_group_name_H-M 'C 1 2/m 1'
_symmetry_Int_Tables_number 12
_cell_length_a 17.186
_cell_length_b 4.940
_cell_length_c 8.040
_cell_angle_alpha 90.00
_cell_angle_beta 111.63
_cell_angle_gamma 90.00
loop_
_symmetry_equiv_pos_as_xyz
'x,y,z'
'-x,-y,-z'
'-x,y,-z'
'x,-y,z'
'x+1/2,y+1/2,z'
'-x+1/2,-y+1/2,-z'
'-x+1/2,y+1/2,-z'
'x+1/2,-y+1/2,z'
loop_
_atom_site_label
_atom_site_type_symbol
_atom_site_fract_x
_atom_site_fract_y
_atom_site_fract_z
Sm1 Sm 0.050 0.000 0.238
Sm2 Sm 0.102 0.500 0.957
Sm3 Sm 0.164 0.000 0.744
Sm4 Sm 0.177 0.500 0.444
Ga1 Ga 0.214 0.000 0.164
Sn1 Sn 0.000 0.500 0.500